A geometry-optimized LaTb6Y2 structure, computed with GGA-PBE.

```
LaTb6Y2
1.0
3.394 0.000 0.620
2.012 5.570 -1.417
-1.361 -4.029 17.066
Y La Tb
2 1 6
Direct
0.835 0.496 0.834
0.165 0.504 0.166
0.500 0.500 0.500
0.436 0.190 0.938
0.900 0.806 0.394
0.564 0.810 0.062
0.772 0.189 0.267
0.100 0.194 0.606
0.228 0.811 0.733
```

Computed properties:
DOS at the Fermi energy   2.240 states/eV/atom
Calculated formation energy   197 meV/atom
Symmetry   No. 12
Total DFT energy (no corrections)   -4.874 eV/atom


A geometry-optimized La4Tb2Y5 structure, computed with GGA-PBE.

```
La4Tb2Y5
1.0
-2.498 2.147 -1.348
-0.482 -5.163 -7.331
-7.148 -6.572 7.477
La Y Tb
4 5 2
Direct
0.028 0.685 0.057
0.370 0.460 0.739
0.972 0.315 0.943
0.630 0.540 0.261
0.500 0.000 0.000
0.181 0.909 0.363
0.819 0.091 0.637
0.768 0.676 0.536
0.232 0.324 0.464
0.899 0.801 0.798
0.101 0.199 0.202
```

Computed properties:
DOS at the Fermi energy   1.619 states/eV/atom
Calculated formation energy   208 meV/atom
Energy relative to the lowest polymorph listed for this composition   120.9 meV/atom
Symmetry   No. 12
Total DFT energy (no corrections)   -5.363 eV/atom


A geometry-optimized La3Tb4Y8 structure, computed with GGA-PBE.

```
La3Tb4Y8
1.0
-6.379 -2.033 -1.212
5.079 0.155 -7.866
5.379 -7.139 2.793
Y Tb La
8 4 3
Direct
0.529 0.265 0.265
0.500 0.747 0.253
0.471 0.735 0.735
0.000 0.357 0.643
0.500 0.253 0.747
0.003 0.261 0.261
0.997 0.739 0.739
0.000 0.643 0.357
0.500 0.000 0.000
0.000 0.500 0.000
0.000 0.000 0.500
0.000 0.000 0.000
0.500 0.500 0.500
0.500 0.500 0.000
0.500 0.000 0.500
```

Computed properties:
DOS at the Fermi energy   2.149 states/eV/atom
Calculated formation energy   383 meV/atom
Symmetry   No. 12
Total DFT energy (no corrections)   -5.285 eV/atom


A geometry-optimized La5Tb5Y2 structure, computed with GGA-PBE.

```
La5Tb5Y2
1.0
-0.943 -2.608 -4.344
9.916 -2.309 -3.824
-2.361 -7.571 2.000
Y Tb La
2 5 5
Direct
0.333 0.501 0.834
0.667 0.499 0.166
0.669 0.747 0.916
0.331 0.253 0.084
0.333 0.000 0.334
0.667 0.000 0.666
0.000 0.500 0.500
0.002 0.749 0.246
0.000 0.000 0.000
0.333 0.749 0.585
0.667 0.251 0.415
0.998 0.251 0.754
```

Computed properties:
DOS at the Fermi energy   1.655 states/eV/atom
Calculated formation energy   27 meV/atom
Symmetry   No. 12
Total DFT energy (no corrections)   -5.033 eV/atom


A geometry-optimized La4TbY4 structure, computed with GGA-PBE.

```
La4TbY4
1.0
5.198 0.000 0.000
2.599 7.724 0.000
2.599 0.000 7.724
La Y Tb
4 4 1
Direct
0.000 0.333 0.667
0.000 0.667 0.333
0.667 0.333 0.333
0.333 0.667 0.667
0.664 0.672 0.000
0.336 0.000 0.328
0.336 0.328 0.000
0.664 0.000 0.672
0.000 0.000 0.000
```

Computed properties:
DOS at the Fermi energy   1.856 states/eV/atom
Calculated formation energy   28 meV/atom
Symmetry   No. 139
Total DFT energy (no corrections)   -5.550 eV/atom


A geometry-optimized La5TbZn3 structure, computed with GGA-PBE.

```
La5TbZn3
1.0
-5.772 -1.568 -3.761
-0.338 -8.299 3.978
-4.421 7.120 3.817
La Tb Zn
10 2 6
Direct
0.750 0.000 0.337
0.500 0.667 0.333
0.000 0.333 0.667
0.000 0.667 0.333
0.250 0.000 0.663
0.750 0.663 0.663
0.250 0.663 0.000
0.250 0.337 0.337
0.750 0.337 0.000
0.500 0.333 0.667
0.000 0.000 0.000
0.500 0.000 0.000
0.250 0.323 0.000
0.250 0.677 0.677
0.750 0.000 0.677
0.750 0.323 0.323
0.250 0.000 0.323
0.750 0.677 0.000
```

Computed properties:
DOS at the Fermi energy   1.202 states/eV/atom
Calculated formation energy   -149 meV/atom
Symmetry   No. 193
Total DFT energy (no corrections)   -3.825 eV/atom


A geometry-optimized La3TbZn8 structure, computed with GGA-PBE.

```
La3TbZn8
1.0
5.622 0.000 0.000
2.811 4.869 0.000
2.811 1.623 9.133
Zn La Tb
8 3 1
Direct
0.937 0.937 0.683
0.937 0.443 0.683
0.437 0.437 0.192
0.443 0.937 0.683
0.688 0.688 0.937
0.188 0.188 0.437
0.437 0.934 0.192
0.934 0.437 0.192
0.374 0.374 0.877
0.001 0.001 0.997
0.499 0.499 0.504
0.876 0.876 0.372
```

Computed properties:
DOS at the Fermi energy   0.405 states/eV/atom
Calculated formation energy   -327 meV/atom
Symmetry   No. 160
Total DFT energy (no corrections)   -2.794 eV/atom


A geometry-optimized LaTb2Zn structure, computed with GGA-PBE.

```
LaTb2Zn
1.0
-1.590 1.633 -2.812
-2.463 -2.649 -0.145
-5.156 4.491 5.524
Tb La Zn
2 1 1
Direct
0.000 0.000 0.200
0.000 0.000 0.800
0.500 0.500 0.500
0.500 0.500 0.000
```

Computed properties:
DOS at the Fermi energy   1.437 states/eV/atom
Calculated formation energy   -154 meV/atom
Energy relative to the lowest polymorph listed for this composition   0.0 meV/atom
Symmetry   No. 123
Total DFT energy (no corrections)   -4.020 eV/atom


A geometry-optimized La3TbZn structure, computed with GGA-PBE.

```
La3TbZn
1.0
3.704 0.000 -0.656
-0.064 5.648 -0.365
0.767 0.983 15.135
La Zn Tb
6 2 2
Direct
0.340 0.750 0.681
0.127 0.750 0.254
0.956 0.747 0.911
0.873 0.250 0.746
0.044 0.253 0.089
0.660 0.250 0.319
0.459 0.245 0.918
0.541 0.755 0.082
0.733 0.750 0.466
0.267 0.250 0.534
```

Computed properties:
DOS at the Fermi energy   1.348 states/eV/atom
Calculated formation energy   -98 meV/atom
Energy relative to the lowest polymorph listed for this composition   0.0 meV/atom
Symmetry   No. 12
Total DFT energy (no corrections)   -4.235 eV/atom


A geometry-optimized La6TbZn structure, computed with GGA-PBE.

```
La6TbZn
1.0
-7.666 1.348 -1.840
-6.836 -4.726 -2.840
-3.235 -3.240 4.197
La Tb Zn
6 1 1
Direct
0.764 0.763 0.238
0.614 0.617 0.886
0.236 0.237 0.762
0.884 0.885 0.618
0.386 0.383 0.114
0.116 0.115 0.382
0.500 0.500 0.500
0.000 0.000 0.000
```

Computed properties:
DOS at the Fermi energy   1.543 states/eV/atom
Calculated formation energy   -7 meV/atom
Symmetry   No. 12
Total DFT energy (no corrections)   -4.440 eV/atom